[1]
# LaZn3B

LaZn3B at its PBEsol-relaxed geometry (SCAN, Alexandria via LeMat-Bulk).

Calculated values
N(E_F): 0.9765 states/eV/atom
Raw total energy: -16.27 eV per atom
Symmetry: Pm-3m (221)
Total moment: 0.490 μB per atom

Lattice parameters (Å, degrees): 5.6139 5.6139 5.6139 90.00 90.00 90.00
Sites, in units of the cell vectors:
1 La 0.0000 0.0000 0.0000
2 Zn 0.0000 0.0000 0.5000
3 Zn 0.0000 0.5000 0.0000
4 Zn 0.5000 0.0000 0.0000
5 B 0.5000 0.5000 0.5000

***

[2]
# LiCaSe

LiCaSe at its PBEsol-relaxed geometry (SCAN, Alexandria via LeMat-Bulk).

Calculated values
N(E_F): 0.1936 states/eV/atom
Formation energy from raw total energies: -3.86 eV/f.u.
Raw total energy: -12.00 eV per atom
Symmetry: P-6m2 (187)
Total moment: 0.293 μB per atom
Energy above the lowest structure with this stoichiometry: 0.0 kJ per mole of atoms

Lattice parameters (Å, degrees): 4.1499 4.1499 4.1387 90.00 90.00 120.00
Sites, in units of the cell vectors:
1 Li 0.0000 0.0000 0.0000
2 Ca 0.6667 0.3333 0.5000
3 Se 0.3333 0.6667 0.0000

***

[3]
# KNbGaAs2

KNbGaAs2 at its PBEsol-relaxed geometry (SCAN, Alexandria via LeMat-Bulk).

Calculated values
N(E_F): 0.5121 states/eV/atom
Raw total energy: -19.85 eV per atom
Symmetry: P4/mmm (123)
Total moment: 0.000 μB per atom

Lattice parameters (Å, degrees): 5.0044 5.0044 5.0968 90.00 90.00 90.00
Sites, in units of the cell vectors:
1 K 0.0000 0.0000 0.0000
2 Nb 0.5000 0.5000 0.5000
3 Ga 0.5000 0.5000 0.0000
4 As 0.0000 0.5000 0.5000
5 As 0.5000 0.0000 0.5000

***

[4]
# CsNa2Be6B5O15

CsNa2Be6B5O15 at its PBEsol-relaxed geometry (SCAN, Alexandria via LeMat-Bulk).

Calculated values
N(E_F): 0.0000 states/eV/atom
Formation energy from raw total energies: -79.70 eV/f.u.
Raw total energy: -9.75 eV per atom
Symmetry: C2 (5)
Total moment: 0.000 μB per atom

Lattice parameters (Å, degrees): 7.2833 7.2833 10.8802 102.57 102.57 35.40
Sites, in units of the cell vectors:
1 Cs 0.0000 0.0000 0.0000
2 Na 0.2909 0.3347 0.4575
3 Na 0.6653 0.7091 0.5425
4 Be 0.1126 0.1696 0.7026
5 Be 0.2315 0.2825 0.9224
6 Be 0.4591 0.5174 0.3656
7 Be 0.4826 0.5409 0.6344
8 Be 0.7175 0.7685 0.0776
9 Be 0.8304 0.8874 0.2974
10 B 0.3114 0.3660 0.1638
11 B 0.3181 0.3482 0.7244
12 B 0.6340 0.6886 0.8362
13 B 0.6518 0.6819 0.2756
14 B 0.9655 0.0345 0.5000
15 O 0.1038 0.4726 0.0606
16 O 0.2095 0.5734 0.2683
17 O 0.2164 0.2582 0.6427
18 O 0.2753 0.7247 0.5000
19 O 0.3327 0.3575 0.8527
20 O 0.3977 0.4224 0.6662
21 O 0.4266 0.7905 0.7317
22 O 0.5274 0.8962 0.9394
23 O 0.5776 0.6023 0.3338
24 O 0.6201 0.0545 0.1646
25 O 0.6425 0.6673 0.1473
26 O 0.7418 0.7836 0.3573
27 O 0.7553 0.1397 0.3978
28 O 0.8603 0.2447 0.6022
29 O 0.9455 0.3799 0.8354

***

[5]
# ZrMn2TeC

ZrMn2TeC at its PBEsol-relaxed geometry (SCAN, Alexandria via LeMat-Bulk).

Calculated values
N(E_F): 0.6069 states/eV/atom
Formation energy from raw total energies: -1.15 eV/f.u.
Raw total energy: -23.14 eV per atom
Symmetry: P4/mmm (123)
Total moment: 1.306 μB per atom

Lattice parameters (Å, degrees): 3.9503 3.9503 4.5654 90.00 90.00 90.00
Sites, in units of the cell vectors:
1 Zr 0.0000 0.0000 0.0000
2 Mn 0.0000 0.5000 0.5000
3 Mn 0.5000 0.0000 0.5000
4 Te 0.5000 0.5000 0.0000
5 C 0.0000 0.0000 0.5000

***

[6]
# Cr4W3

Cr4W3 at its PBEsol-relaxed geometry (SCAN, Alexandria via LeMat-Bulk).

Calculated values
N(E_F): 0.5274 states/eV/atom
Raw total energy: -40.30 eV per atom
Symmetry: I4/mmm (139)
Total moment: 0.000 μB per atom

Lattice parameters (Å, degrees): 10.6158 10.6158 10.6158 163.86 163.86 22.90
Sites, in units of the cell vectors:
1 Cr 0.0717 0.0717 0.0000
2 Cr 0.3619 0.3619 0.0000
3 Cr 0.6381 0.6381 0.0000
4 Cr 0.9283 0.9283 0.0000
5 W 0.2095 0.2095 0.0000
6 W 0.5000 0.5000 0.0000
7 W 0.7905 0.7905 0.0000

***

Q: Which value of raw total energy does entry 6 give?
A: -40.30 eV per atom